[1]
Here is crystalline YGaHg at its relaxed geometry from the Alexandria database. Energies are from GGA-PBE. Values from VASP.

Summary:
calculated volume	22.49	Å³ per atom
energy of formation from the pure elements	-515.3	meV per atom
space group	P-6m2
calculated total energy	-3.78	eV per atom

Structure (Quantum ESPRESSO input):
```
&SYSTEM
  ibrav = 0, nat = 3, ntyp = 3
/
ATOMIC_SPECIES
Hg 200.59 Hg.upf
Ga 69.72 Ga.upf
Y 88.91 Y.upf
ATOMIC_POSITIONS crystal
Hg 0.167 0.000 0.000
Ga 0.167 0.333 0.667
Y 0.667 0.667 0.333
CELL_PARAMETERS angstrom
3.583 0.000 0.000
0.000 4.663 0.000
0.000 -2.332 4.039
```

[2]
Here is crystalline Y2Ga2Hg3 at its relaxed geometry from the Alexandria database. Energies are from GGA-PBE. Values from VASP.

Summary:
calculated volume	23.05	Å³ per atom
energy of formation from the pure elements	-407.5	meV per atom
space group	C2/m
calculated total energy	-3.25	eV per atom

Structure (Quantum ESPRESSO input):
```
&SYSTEM
  ibrav = 0, nat = 7, ntyp = 3
/
ATOMIC_SPECIES
Ga 69.72 Ga.upf
Hg 200.59 Hg.upf
Y 88.91 Y.upf
ATOMIC_POSITIONS crystal
Ga 0.911 0.822 0.374
Hg 0.310 0.621 0.162
Hg 0.000 0.000 0.000
Hg 0.690 0.379 0.838
Y 0.373 0.746 0.679
Ga 0.089 0.178 0.626
Y 0.627 0.254 0.321
CELL_PARAMETERS angstrom
4.430 0.000 0.000
-2.215 5.426 0.326
0.000 -0.839 6.660
```

- Which of these has the highest energy of formation from the pure elements?
  Y2Ga2Hg3

- calculated total energy of number 2 (Y2Ga2Hg3)?
  -3.25 eV per atom